The following is a DFT calculation (PBE-GGA) of an optimized crystal structure of VSn2.

Calculated values
ΔE_f, eV per atom: 0.144
DOS at the Fermi energy, states/eV per cell: 3.8
Total energy, eV/atom: -5.564
Magnetic moment, Bohr magnetons per cell: 0.000
Crystal system: tetragonal
Volume, Å³ per atom: 19.81

Cell: 3.5733 3.5733 9.3093 Å, 90.00 90.00 90.00°
Space group I4/mmm (No. 139)
Asymmetric unit:
V (0.0000, 0.0000, 0.0000) x2
Sn (0.0000, 0.0000, 0.3437) x4



The following is a DFT calculation (PBE-GGA) of an optimized crystal structure of NaPuGeO5.

Calculated values
DOS at the Fermi energy, states/eV per cell: 26.1
Total energy, eV/atom: -7.835
Magnetic moment, Bohr magnetons per cell: 12.000
ΔE_f (raw), meV/atom: -2203
Crystal system: monoclinic
Volume, Å³ per atom: 14.93

Cell: 7.1404 9.3639 7.8368 Å, 90.00 114.28 90.00°
Space group C2/c (No. 15)
Asymmetric unit:
Na (0.0000, 0.1680, 0.2500) x4
Pu (0.0000, 0.5000, 0.0000) x4
Ge (0.0000, 0.1816, 0.7500) x4
O (0.0000, 0.4244, 0.2500) x4
O (0.1039, 0.2895, 0.6233) x8
O (0.1841, 0.0625, 0.9074) x8



The following is a DFT calculation (PBE-GGA) of an optimized crystal structure of HoMgPb3.

Calculated values
ΔE_f, eV per atom: -0.216
DOS at the Fermi energy, states/eV per cell: 9.4
Energy relative to the lowest polymorph listed for this composition, eV per atom: 0.000
Total energy, eV/atom: -3.675
Magnetic moment, Bohr magnetons per cell: 0.000
Crystal system: monoclinic
Volume, Å³ per atom: 27.74

Cell: 6.4781 13.3950 6.3937 Å, 90.00 90.13 90.00°
Space group P2/c (No. 13)
Asymmetric unit:
Ho (0.2494, 0.1917, 0.9999) x4
Mg (0.0000, 0.3817, 0.2500) x2
Mg (0.5000, 0.3816, 0.2500) x2
Pb (0.0000, 0.0009, 0.2500) x2
Pb (0.2501, 0.4225, 0.8154) x4
Pb (0.2506, 0.2235, 0.5048) x4
Pb (0.5000, 0.0006, 0.2500) x2



The following is a DFT calculation (PBE-GGA) of an optimized crystal structure of AcTaSn.

Calculated values
ΔE_f, eV per atom: 0.431
DOS at the Fermi energy, states/eV per cell: 5.3
Total energy, eV/atom: -6.224
Magnetic moment, Bohr magnetons per cell: 0.000
Crystal system: tetragonal
Volume, Å³ per atom: 29.00

Cell: 4.3634 4.3634 9.1388 Å, 90.00 90.00 90.00°
Space group P4/nmm (No. 129, origin choice 2)
Asymmetric unit:
Ac (0.2500, 0.2500, 0.2401) x2
Ta (0.2500, 0.2500, 0.5585) x2
Sn (0.2500, 0.2500, 0.8791) x2



The following is a DFT calculation (PBE-GGA) of an optimized crystal structure of TaSb2Au.

Calculated values
DOS at the Fermi energy, states/eV per cell: 4.9
Total energy, eV/atom: -5.815
Magnetic moment, Bohr magnetons per cell: 0.000
ΔE_f (raw), meV/atom: 29
Crystal system: orthorhombic
Volume, Å³ per atom: 21.88

Cell: 4.1471 3.7933 11.1284 Å, 90.00 90.00 90.00°
Space group Amm2 (No. 38)
Asymmetric unit:
Ta (0.0000, 0.0000, 0.0000) x2
Sb (0.0000, 0.0000, 0.2861) x2
Sb (0.5000, 0.0000, 0.5768) x2
Au (0.5000, 0.0000, 0.8261) x2



The following is a DFT calculation (PBE-GGA) of an optimized crystal structure of Pr2Si3IrPt12.

Calculated values
DOS at the Fermi energy, states/eV per cell: 25.1
Total energy, eV/atom: -6.329
Magnetic moment, Bohr magnetons per cell: 0.000
ΔE_f (raw), meV/atom: -374
Crystal system: trigonal
Volume, Å³ per atom: 20.16

Cell: 8.1855 8.1855 18.7576 Å, 90.00 90.00 120.00°
Space group R-3m (No. 166, hexagonal axes)
Asymmetric unit:
Pr (0.0000, 0.0000, 0.1144) x6
Si (0.0000, 0.5000, 0.0000) x9
Ir (0.0000, 0.0000, 0.5000) x3
Pt (0.0042, 0.5021, 0.8758) x18
Pt (0.0285, 0.5142, 0.3689) x18



The following is a DFT calculation (PBE-GGA) of an optimized crystal structure of Pr4Sm3PuS8.

Calculated values
DOS at the Fermi energy, states/eV per cell: 39.4
Total energy, eV/atom: -7.038
Magnetic moment, Bohr magnetons per cell: 16.837
ΔE_f (raw), meV/atom: -1998
Crystal system: trigonal
Volume, Å³ per atom: 23.51

Cell: 8.0906 8.0906 19.9094 Å, 90.00 90.00 120.00°
Space group R-3m (No. 166, hexagonal axes)
Asymmetric unit:
Pr (0.0000, 0.0000, 0.0000) x3
Pr (0.0000, 0.5000, 0.0000) x9
Sm (0.0000, 0.5000, 0.5000) x9
Pu (0.0000, 0.0000, 0.5000) x3
S (0.0000, 0.0000, 0.2471) x6
S (0.0025, 0.5012, 0.2466) x18



The following is a DFT calculation (PBE-GGA) of an optimized crystal structure of SmTmTlSn.

Calculated values
ΔE_f, eV per atom: -0.441
DOS at the Fermi energy, states/eV per cell: 14.0
Total energy, eV/atom: -4.331
Magnetic moment, Bohr magnetons per cell: 0.000
Crystal system: cubic
Volume, Å³ per atom: 27.49

Cell: 7.6047 7.6047 7.6047 Å, 90.00 90.00 90.00°
Space group F-43m (No. 216)
Asymmetric unit:
Sm (0.0000, 0.0000, 0.0000) x4
Tm (0.0000, 0.0000, 0.5000) x4
Tl (0.2500, 0.2500, 0.2500) x4
Sn (0.2500, 0.2500, 0.7500) x4



The following is a DFT calculation (PBE-GGA) of an optimized crystal structure of Pd7PtAu12.

Calculated values
ΔE_f, eV per atom: 0.030
DOS at the Fermi energy, states/eV per cell: 24.6
Total energy, eV/atom: -4.056
Magnetic moment, Bohr magnetons per cell: 0.000
Crystal system: trigonal
Volume, Å³ per atom: 17.55

Cell: 12.0594 12.0594 8.3609 Å, 90.00 90.00 120.00°
Space group R-3 (No. 148, hexagonal axes)
Asymmetric unit:
Pd (0.0000, 0.0000, 0.0000) x3
Pd (0.0645, 0.2442, 0.4204) x18
Pt (0.0000, 0.0000, 0.5000) x3
Au (0.0496, 0.2026, 0.7467) x18
Au (0.0502, 0.2455, 0.0781) x18



The following is a DFT calculation (PBE-GGA) of an optimized crystal structure of BaCu3Pt2.

Calculated values
ΔE_f, eV per atom: -0.321
DOS at the Fermi energy, states/eV per cell: 12.3
Total energy, eV/atom: -4.703
Magnetic moment, Bohr magnetons per cell: 0.000
Crystal system: orthorhombic
Volume, Å³ per atom: 19.34

Cell: 10.1462 8.2889 5.5185 Å, 90.00 90.00 90.00°
Space group Cmcm (No. 63)
Asymmetric unit:
Ba (0.0000, 0.1804, 0.2500) x4
Cu (0.0000, 0.4240, 0.7500) x4
Cu (0.1969, 0.2344, 0.7500) x8
Pt (0.2081, 0.5000, 0.0000) x8



The following is a DFT calculation (PBE-GGA) of an optimized crystal structure of LiPmTi.

Calculated values
ΔE_f, eV per atom: 0.255
DOS at the Fermi energy, states/eV per cell: 7.5
Total energy, eV/atom: -4.598
Magnetic moment, Bohr magnetons per cell: 0.000
Crystal system: monoclinic
Volume, Å³ per atom: 23.75

Cell: 5.3889 3.2572 8.1879 Å, 90.00 97.49 90.00°
Space group P2_1/m (No. 11)
Asymmetric unit:
Li (0.2088, 0.2500, 0.4540) x2
Pm (0.3938, 0.7500, 0.8137) x2
Ti (0.0902, 0.7500, 0.1307) x2



The following is a DFT calculation (PBE-GGA) of an optimized crystal structure of MnRe2Mo.

Calculated values
ΔE_f, eV per atom: 0.094
DOS at the Fermi energy, states/eV per cell: 3.2
Energy relative to the lowest polymorph listed for this composition, eV per atom: 0.006
Total energy, eV/atom: -11.130
Magnetic moment, Bohr magnetons per cell: 2.706
Crystal system: monoclinic
Volume, Å³ per atom: 14.72

Cell: 2.6620 4.3802 5.1135 Å, 90.00 99.16 90.00°
Space group P2/m (No. 10)
Asymmetric unit:
Mn (0.0000, 0.0000, 0.0000) x1
Re (0.2543, 0.5000, 0.7576) x2
Mo (0.5000, 0.0000, 0.5000) x1



The following is a DFT calculation (PBE-GGA) of an optimized crystal structure of LaNdSb2Rh5.

Calculated values
DOS at the Fermi energy, states/eV per cell: 5.7
Total energy, eV/atom: -6.641
Magnetic moment, Bohr magnetons per cell: 0.000
ΔE_f (raw), meV/atom: -564
Crystal system: tetragonal
Volume, Å³ per atom: 20.43

Cell: 4.4973 4.4973 9.0923 Å, 90.00 90.00 90.00°
Space group P4/mmm (No. 123)
Asymmetric unit:
La (0.0000, 0.0000, 0.0000) x1
Nd (0.0000, 0.0000, 0.5000) x1
Sb (0.5000, 0.5000, 0.3414) x2
Rh (0.0000, 0.5000, 0.2160) x4
Rh (0.5000, 0.5000, 0.0000) x1



The following is a DFT calculation (PBE-GGA) of an optimized crystal structure of Rb2LaO.

Calculated values
DOS at the Fermi energy, states/eV per cell: 17.1
Total energy, eV/atom: -3.912
Magnetic moment, Bohr magnetons per cell: 0.000
ΔE_f (raw), meV/atom: -957
Crystal system: tetragonal
Volume, Å³ per atom: 55.76

Cell: 14.2070 14.2070 4.4202 Å, 90.00 90.00 90.00°
Space group I-42d (No. 122)
Asymmetric unit:
Rb (0.1010, 0.7500, 0.1250) x8
La (0.0000, 0.0000, 0.5000) x4
O (0.0000, 0.0000, 0.0000) x4



The following is a DFT calculation (PBE-GGA) of an optimized crystal structure of AlTe3.

Calculated values
DOS at the Fermi energy, states/eV per cell: 9.1
Total energy, eV/atom: -2.965
Magnetic moment, Bohr magnetons per cell: 0.000
ΔE_f (raw), meV/atom: 327
Crystal system: hexagonal
Volume, Å³ per atom: 29.68

Cell: 6.2764 6.2764 13.9201 Å, 90.00 90.00 120.00°
Space group P6_3/mmc (No. 194)
Asymmetric unit:
Al (0.0000, 0.0000, 0.0000) x2
Al (0.3333, 0.6667, 0.2500) x2
Te (0.0000, 0.5000, 0.0000) x6
Te (0.1664, 0.3329, 0.7500) x6



The following is a DFT calculation (PBE-GGA) of an optimized crystal structure of K2RuO4.

Calculated values
Energy relative to the lowest polymorph listed for this composition, eV per atom: 0.000
Total energy, eV/atom: -5.793
Magnetic moment, Bohr magnetons per cell: 8.000
ΔE_f (raw), meV/atom: -1321
Crystal system: orthorhombic
Volume, Å³ per atom: 19.90

Cell: 8.1161 6.4788 10.5985 Å, 90.00 90.00 90.00°
Space group Pnma (No. 62)
Asymmetric unit:
K (0.0081, 0.2500, 0.2289) x4
K (0.1992, 0.2500, 0.5681) x4
Ru (0.2231, 0.2500, 0.9023) x4
O (0.0227, 0.2500, 0.9710) x4
O (0.1216, 0.7500, 0.5239) x4
O (0.2501, 0.0254, 0.8034) x8



The following is a DFT calculation (PBE-GGA) of an optimized crystal structure of CrRh2Au.

Calculated values
ΔE_f, eV per atom: 0.070
DOS at the Fermi energy, states/eV per cell: 10.3
Total energy, eV/atom: -6.831
Magnetic moment, Bohr magnetons per cell: 2.962
Crystal system: tetragonal
Volume, Å³ per atom: 14.79

Cell: 3.9131 3.9131 7.7244 Å, 90.00 90.00 90.00°
Space group I4/mmm (No. 139)
Asymmetric unit:
Cr (0.0000, 0.0000, 0.0000) x2
Rh (0.0000, 0.5000, 0.2500) x4
Au (0.0000, 0.0000, 0.5000) x2



The following is a DFT calculation (PBE-GGA) of an optimized crystal structure of TiB3Se.

Calculated values
DOS at the Fermi energy, states/eV per cell: 2.7
Energy relative to the lowest polymorph listed for this composition, eV per atom: 0.017
Total energy, eV/atom: -4.490
Magnetic moment, Bohr magnetons per cell: 0.000
ΔE_f (raw), meV/atom: 1793
Crystal system: cubic
Volume, Å³ per atom: 15.56

Cell: 4.2692 4.2692 4.2692 Å, 90.00 90.00 90.00°
Space group Pm-3m (No. 221)
Asymmetric unit:
Ti (0.0000, 0.0000, 0.0000) x1
B (0.0000, 0.0000, 0.5000) x3
Se (0.5000, 0.5000, 0.5000) x1



The following is a DFT calculation (PBE-GGA) of an optimized crystal structure of Nb2ReAu.

Calculated values
ΔE_f, eV per atom: -0.079
DOS at the Fermi energy, states/eV per cell: 4.1
Energy relative to the lowest polymorph listed for this composition, eV per atom: 0.000
Total energy, eV/atom: -9.045
Magnetic moment, Bohr magnetons per cell: 0.000
Crystal system: tetragonal
Volume, Å³ per atom: 17.53

Cell: 3.1556 3.1556 7.0405 Å, 90.00 90.00 90.00°
Space group P4/mmm (No. 123)
Asymmetric unit:
Nb (0.0000, 0.0000, 0.2266) x2
Re (0.5000, 0.5000, 0.0000) x1
Au (0.5000, 0.5000, 0.5000) x1



The following is a DFT calculation (PBE-GGA) of an optimized crystal structure of La2CoPd.

Calculated values
ΔE_f, eV per atom: 0.052
DOS at the Fermi energy, states/eV per cell: 8.8
Total energy, eV/atom: -5.486
Magnetic moment, Bohr magnetons per cell: 0.000
Crystal system: trigonal
Volume, Å³ per atom: 27.23

Cell: 3.7837 3.7837 26.3578 Å, 90.00 90.00 120.00°
Space group R-3m (No. 166, hexagonal axes)
Asymmetric unit:
La (0.0000, 0.0000, 0.1034) x6
Co (0.0000, 0.0000, 0.5000) x3
Pd (0.0000, 0.0000, 0.0000) x3